DFT (PBE-GGA) results for Ac2ZrGeN5 after structural relaxation.

## Properties
Fermi-level density of states = 0.724 states/eV/atom
ΔE_f (raw) = -0.815 eV per atom
calculated volume = 15.544 A^3/atom
E = -7.82 eV per atom

a b c (Å): 7.791 7.791 10.692
angles (deg): 90.00 90.00 154.46
Atoms (fractional coordinates):
1 Ac 0.114 0.886 0.500
2 Ac 0.127 0.873 0.131
3 Ac 0.873 0.127 0.631
4 Ac 0.886 0.114 0.000
5 Zr 0.210 0.790 0.835
6 Zr 0.790 0.210 0.335
7 Ge 0.447 0.553 0.264
8 Ge 0.553 0.447 0.764
9 N 0.043 0.957 0.855
10 N 0.292 0.708 0.470
11 N 0.326 0.674 0.203
12 N 0.345 0.655 0.822
13 N 0.499 0.501 0.609
14 N 0.501 0.499 0.109
15 N 0.655 0.345 0.322
16 N 0.674 0.326 0.703
17 N 0.708 0.292 0.970
18 N 0.957 0.043 0.355